1.
! TePSeN2 | Alexandria via LeMat-Bulk | PBE-GGA | relaxed; values from VASP
! - ΔE to the lowest computed polymorph (meV per atom) = 118
! - uncorrected formation energy (eV per atom) = 1.208
! - crystal system = tetragonal
! - total magnetization (μB per formula unit) = 0.17
&SYSTEM
  ibrav = 0, nat = 5, ntyp = 4
/
ATOMIC_SPECIES
N 14.01 N.upf
Se 78.96 Se.upf
P 30.97 P.upf
Te 127.60 Te.upf
ATOMIC_POSITIONS crystal
N 0.500 0.000 0.000
N 0.000 0.500 0.000
Se 0.000 0.000 0.500
P 0.000 0.000 0.000
Te 0.500 0.500 0.500
CELL_PARAMETERS angstrom
3.804 0.000 0.000
0.000 3.804 0.000
0.000 0.000 4.895


2.
! RhPb2 | Alexandria via LeMat-Bulk | PBE-GGA | relaxed; values from VASP
! - crystal system = orthorhombic
! - total magnetization (μB per formula unit) = 0.00
! - E_form (eV per atom) = -0.021
&SYSTEM
  ibrav = 0, nat = 12, ntyp = 2
/
ATOMIC_SPECIES
Pb 207.20 Pb.upf
Rh 102.91 Rh.upf
ATOMIC_POSITIONS crystal
Pb 0.750 0.340 0.946
Pb 0.750 0.513 0.339
Pb 0.750 0.013 0.161
Pb 0.250 0.487 0.661
Pb 0.250 0.987 0.839
Pb 0.750 0.840 0.554
Pb 0.250 0.660 0.054
Pb 0.250 0.160 0.446
Rh 0.250 0.312 0.176
Rh 0.750 0.188 0.676
Rh 0.250 0.812 0.324
Rh 0.750 0.688 0.824
CELL_PARAMETERS angstrom
3.555 0.000 0.000
0.000 8.214 0.000
0.000 0.000 9.532


3.
! NaTcBiBr2 | Alexandria via LeMat-Bulk | PBE-GGA | relaxed; values from VASP
! - uncorrected formation energy (eV per atom) = 0.685
! - crystal system = tetragonal
! - total magnetization (μB per formula unit) = 3.23
&SYSTEM
  ibrav = 0, nat = 5, ntyp = 4
/
ATOMIC_SPECIES
Tc 98.00 Tc.upf
Na 22.99 Na.upf
Bi 208.98 Bi.upf
Br 79.90 Br.upf
ATOMIC_POSITIONS crystal
Tc 0.500 0.500 0.500
Na 0.000 0.000 0.000
Bi 0.000 0.500 0.000
Br 0.500 0.000 0.000
Br 0.000 0.000 0.500
CELL_PARAMETERS angstrom
5.118 0.000 0.000
0.000 6.166 0.000
0.000 0.000 5.118